(1)
# La3TbCo

A geometry-optimized La3TbCo structure (PBE, Alexandria).

a = 5.4768 Å, b = 5.4768 Å, c = 5.4768 Å
α = 90.00°, β = 90.00°, γ = 90.00°
Space group Pm-3m (No. 221)
Symmetry-distinct sites (fractional):
La: 0.0000 0.0000 0.5000 [3 per cell]
Tb: 0.5000 0.5000 0.5000 [1 per cell]
Co: 0.0000 0.0000 0.0000 [1 per cell]

Values from the calculation:
energy of formation from the pure elements = 38 meV per atom
E = -26.33 eV/cell

(2)
# La3TbCo

A geometry-optimized La3TbCo structure (PBE, Alexandria).

a = 10.9963 Å, b = 10.4922 Å, c = 7.5632 Å
α = 90.00°, β = 133.31°, γ = 90.00°
Space group C2/m (No. 12)
Symmetry-distinct sites (fractional):
La: 0.0004 0.2411 0.2329 [8 per cell]
La: 0.2049 0.5000 0.7066 [4 per cell]
Tb: 0.2225 0.0000 0.7222 [4 per cell]
Co: 0.0007 0.0000 0.1984 [4 per cell]

Values from the calculation:
energy of formation from the pure elements = -57 meV per atom
E = -107.22 eV/cell

(3)
# LaTb4Co4

A geometry-optimized LaTb4Co4 structure (PBE, Alexandria).

a = 8.4592 Å, b = 8.4592 Å, c = 5.6260 Å
α = 90.00°, β = 90.00°, γ = 90.00°
Space group P4_2/n (No. 86, origin choice 2)
Symmetry-distinct sites (fractional):
La: 0.2500 0.2500 0.2500 [2 per cell]
Tb: 0.0637 0.6739 0.1367 [8 per cell]
Co: 0.0129 0.6121 0.6188 [8 per cell]

Values from the calculation:
energy of formation from the pure elements = -60 meV per atom
E = -104.82 eV/cell

(4)
# LaTbCo2

A geometry-optimized LaTbCo2 structure (PBE, Alexandria).

a = 4.8625 Å, b = 4.8625 Å, c = 3.4264 Å
α = 90.00°, β = 90.00°, γ = 90.00°
Space group P4/mmm (No. 123)
Symmetry-distinct sites (fractional):
La: 0.0000 0.0000 0.0000 [1 per cell]
Tb: 0.5000 0.5000 0.0000 [1 per cell]
Co: 0.0000 0.5000 0.5000 [2 per cell]

Values from the calculation:
energy of formation from the pure elements = -25 meV per atom
E = -23.87 eV/cell

(5)
# LaTb2Co

A geometry-optimized LaTb2Co structure (PBE, Alexandria).

a = 3.6790 Å, b = 3.6790 Å, c = 31.0876 Å
α = 90.00°, β = 90.00°, γ = 120.00°
Space group R-3m (No. 166, hexagonal axes)
Symmetry-distinct sites (fractional):
La: 0.0000 0.0000 0.0000 [3 per cell]
Tb: 0.0000 0.0000 0.1163 [6 per cell]
Co: 0.0000 0.0000 0.5000 [3 per cell]

Values from the calculation:
energy of formation from the pure elements = 105 meV per atom
E = -62.63 eV/cell

(6)
# LaTb2Co2

A geometry-optimized LaTb2Co2 structure (PBE, Alexandria).

a = 11.3946 Å, b = 3.9369 Å, c = 5.5980 Å
α = 90.00°, β = 107.84°, γ = 90.00°
Space group C2/m (No. 12)
Symmetry-distinct sites (fractional):
La: 0.0000 0.0000 0.0000 [2 per cell]
Tb: 0.1626 0.5000 0.6241 [4 per cell]
Co: 0.1955 0.5000 0.1274 [4 per cell]

Values from the calculation:
energy of formation from the pure elements = -49 meV per atom
E = -57.29 eV/cell

(7)
# LaTb12Co6

A geometry-optimized LaTb12Co6 structure (PBE, Alexandria).

a = 9.8375 Å, b = 9.8375 Å, c = 9.8375 Å
α = 90.00°, β = 90.00°, γ = 90.00°
Space group Im-3 (No. 204)
Symmetry-distinct sites (fractional):
La: 0.0000 0.0000 0.0000 [2 per cell]
Tb: 0.0000 0.1946 0.3104 [24 per cell]
Co: 0.0000 0.3872 0.5000 [12 per cell]

Values from the calculation:
energy of formation from the pure elements = -122 meV per atom
E = -210.88 eV/cell

(8)
# LaTb2Co

A geometry-optimized LaTb2Co structure (PBE, Alexandria).

a = 3.8406 Å, b = 3.8406 Å, c = 27.4313 Å
α = 90.00°, β = 90.00°, γ = 120.00°
Space group R3m (No. 160, hexagonal axes)
Symmetry-distinct sites (fractional):
La: 0.0000 0.0000 0.0000 [3 per cell]
Tb: 0.0000 0.0000 0.5519 [3 per cell]
Tb: 0.0000 0.0000 0.7774 [3 per cell]
Co: 0.0000 0.0000 0.1646 [3 per cell]

Values from the calculation:
energy of formation from the pure elements = -24 meV per atom
E = -64.17 eV/cell

(9)
# La2Tb4Co

A geometry-optimized La2Tb4Co structure (PBE, Alexandria).

a = 5.2238 Å, b = 5.2238 Å, c = 17.1541 Å
α = 90.00°, β = 90.00°, γ = 90.00°
Space group I4/mmm (No. 139)
Symmetry-distinct sites (fractional):
La: 0.0000 0.0000 0.1459 [4 per cell]
Tb: 0.0000 0.0000 0.3452 [4 per cell]
Tb: 0.0000 0.5000 0.0000 [4 per cell]
Co: 0.0000 0.0000 0.5000 [2 per cell]

Values from the calculation:
energy of formation from the pure elements = 174 meV per atom
E = -68.53 eV/cell

(10)
# La3Tb2Co2

A geometry-optimized La3Tb2Co2 structure (PBE, Alexandria).

a = 3.7578 Å, b = 6.5004 Å, c = 8.5274 Å
α = 73.80°, β = 89.92°, γ = 73.37°
Space group P-1 (No. 2)
Symmetry-distinct sites (fractional):
La: 0.0000 0.0000 0.0000 [1 per cell]
La: 0.1270 0.7476 0.4201 [2 per cell]
Tb: 0.3199 0.3609 0.1823 [2 per cell]
Co: 0.3395 0.3211 0.8253 [2 per cell]

Values from the calculation:
energy of formation from the pure elements = -85 meV per atom
E = -38.85 eV/cell

(11)
# LaTb2Co2

A geometry-optimized LaTb2Co2 structure (PBE, Alexandria).

a = 10.8728 Å, b = 3.8188 Å, c = 12.4092 Å
α = 90.00°, β = 114.04°, γ = 90.00°
Space group C2/c (No. 15)
Symmetry-distinct sites (fractional):
La: 0.0000 0.2490 0.2500 [4 per cell]
Tb: 0.1487 0.2503 0.5813 [8 per cell]
Co: 0.1382 0.2503 0.9221 [8 per cell]

Values from the calculation:
energy of formation from the pure elements = -121 meV per atom
E = -116.02 eV/cell

(12)
# LaTbCo3

A geometry-optimized LaTbCo3 structure (PBE, Alexandria).

a = 4.2252 Å, b = 23.3890 Å, c = 3.9589 Å
α = 90.00°, β = 90.00°, γ = 90.00°
Space group Cmcm (No. 63)
Symmetry-distinct sites (fractional):
La: 0.0000 0.0720 0.2500 [4 per cell]
Tb: 0.0000 0.2065 0.7500 [4 per cell]
Co: 0.0000 0.3299 0.7500 [4 per cell]
Co: 0.0000 0.3767 0.2500 [4 per cell]
Co: 0.0000 0.4755 0.2500 [4 per cell]

Values from the calculation:
energy of formation from the pure elements = -124 meV per atom
E = -125.97 eV/cell